A plane-wave DFT calculation with PBE was carried out for a relaxed structure of Dy2Er3Ru4.

The structure in POSCAR format:
```
Dy2Er3Ru4
1.0
4.839 0.000 0.000
-2.419 4.191 0.000
0.000 0.000 9.191
Dy Er Ru
2 3 4
direct
0.333 0.667 0.205
0.667 0.333 0.795
0.000 0.000 0.000
0.333 0.667 0.591
0.667 0.333 0.409
0.000 0.000 0.357
0.000 0.000 0.643
0.333 0.667 0.894
0.667 0.333 0.106
```

Output
- ΔH_f (0 K): -360.2 meV per atom
- N(E_F): 4.494 states/eV per cell
- Energy: -7.03 eV/atom